First-principles (PBE-GGA) data for a geometry-optimized BeZnNiAg2 structure, as listed in Alexandria via LeMat-Bulk.

It has space group P4/mmm (No. 123), with a = 4.778 Å, b = 4.778 Å, c = 4.429 Å, α = 90.00°, β = 90.00° and γ = 90.00°. The asymmetric unit holds Be at (0.000, 0.000, 0.000), Zn at (0.500, 0.500, 0.000), Ni at (0.500, 0.500, 0.500) and Ag at (0.000, 0.500, 0.500).

=====

First-principles (PBE-GGA) data for a geometry-optimized CsNb3Ir structure, as listed in Alexandria via LeMat-Bulk.

The value obtained for the energy above the lowest structure with this stoichiometry is 1728.0 meV per atom.

It has space group Pm-3m (No. 221), with a = 4.930 Å, b = 4.930 Å, c = 4.930 Å, α = 90.00°, β = 90.00° and γ = 90.00°. The asymmetric unit holds Cs at (0.000, 0.000, 0.000), Nb at (0.000, 0.000, 0.500) and Ir at (0.500, 0.500, 0.500).

=====

First-principles (PBE-GGA) data for a geometry-optimized NaLaAu2 structure, as listed in Alexandria via LeMat-Bulk.

The value obtained for the energy above the lowest structure with this stoichiometry is 54.1 meV per atom.

It has space group P4/mmm (No. 123), with a = 3.751 Å, b = 3.751 Å, c = 7.180 Å, α = 90.00°, β = 90.00° and γ = 90.00°. The asymmetric unit holds Na at (0.000, 0.000, 0.000), La at (0.000, 0.000, 0.500) and Au at (0.500, 0.500, 0.256).

=====

First-principles (PBE-GGA) data for a geometry-optimized La2VCu structure, as listed in Alexandria via LeMat-Bulk.

The value obtained for the energy above the lowest structure with this stoichiometry is 247.1 meV per atom.

It has space group I-42d (No. 122), with a = 8.105 Å, b = 8.105 Å, c = 6.240 Å, α = 90.00°, β = 90.00° and γ = 90.00°. The asymmetric unit holds La at (0.234, 0.250, 0.125), V at (0.000, 0.000, 0.500) and Cu at (0.000, 0.000, 0.000).

=====

First-principles (PBE-GGA) data for a geometry-optimized MoAsP2 structure, as listed in Alexandria via LeMat-Bulk.

It has space group P2/m (No. 10), with a = 3.420 Å, b = 4.626 Å, c = 4.328 Å, α = 90.00°, β = 99.69° and γ = 90.00°. The asymmetric unit holds Mo at (0.000, 0.000, 0.000), As at (0.500, 0.000, 0.500) and P at (0.216, 0.500, 0.833).

=====

First-principles (PBE-GGA) data for a geometry-optimized Li4Ag3Au5 structure, as listed in Alexandria via LeMat-Bulk.

It has space group C2/m (No. 12), with a = 11.210 Å, b = 5.461 Å, c = 7.435 Å, α = 90.00°, β = 102.34° and γ = 90.00°. The asymmetric unit holds Li at (0.159, 0.000, 0.353), Li at (0.245, 0.500, 0.020), Ag at (0.000, 0.000, 0.000), Ag at (0.091, 0.500, 0.673), Au at (0.000, 0.500, 0.000), Au at (0.087, 0.000, 0.674) and Au at (0.167, 0.500, 0.334).

=====

Number 1: formation enthalpy at 0 K 0.98 eV/atom. Number 2: formation enthalpy at 0 K 2.99 eV/atom. Number 3: formation enthalpy at 0 K -0.57 eV/atom. Number 4: formation enthalpy at 0 K 0.48 eV/atom. Number 5: formation enthalpy at 0 K 0.16 eV/atom. Number 6: formation enthalpy at 0 K -0.15 eV/atom.